[1]
VASP calculation (meta-GGA SCAN) on a crystal of HgOsSeN2 relaxed with PBEsol.

```
HgOsSeN2
1.0
-3.2012 -1.2610 -1.6303
-0.6793 -2.1978 3.0337
-2.7927 4.0783 2.3292
Os Hg Se N
1 1 1 2
Cartesian
0.0000 0.0000 0.0000
-3.3366 0.3098 1.8664
-1.3963 2.0392 1.1646
-0.3396 -1.0989 1.5169
-1.6006 -0.6305 -0.8151
```

Computed properties:
The symmetry is P4/mmm, No. 123. The formation energy without anion corrections comes out at 0.620 eV per atom. As for the total energy: -175.61 eV/cell. The total moment comes out at 0.0000 μB per atom.

=====

[2]
VASP calculation (meta-GGA SCAN) on a crystal of TeRu2Pb relaxed with PBEsol.

```
TeRu2Pb
1.0
3.2115 0.0235 0.0000
-0.0333 4.7026 0.0000
0.0000 0.0000 4.9092
Pb Ru Te
1 2 1
Cartesian
0.3761 3.5753 2.4546
0.4004 0.1847 0.0000
1.9991 1.1489 2.4546
1.9916 2.1803 0.0000
```

Computed properties:
The symmetry is Pmm2, No. 25. The formation energy without anion corrections comes out at 0.385 eV per atom. For the energy above the most stable polymorph in this dataset, the calculation gives 0.000 eV/atom. As for the total energy: -181.14 eV/cell. The total moment comes out at 0.0000 μB per atom.

=====

[3]
VASP calculation (meta-GGA SCAN) on a crystal of CaZrAu relaxed with PBEsol.

```
CaZrAu
1.0
-2.9947 -0.1006 1.7425
0.9078 -2.6509 -2.0404
3.2928 -3.0909 5.4807
Ca Au Zr
1 1 1
Cartesian
1.8979 -3.9513 3.0337
0.0527 -0.0494 0.0877
-0.7447 -1.8417 2.0614
```

Computed properties:
The symmetry is P3m1, No. 156. As for the formation energy: -0.167 eV per atom. For the energy above the most stable polymorph in this dataset, the calculation gives 0.121 eV/atom. As for the total energy: -110.02 eV/cell. The total moment comes out at 0.2558 μB per atom.

=====

[4]
VASP calculation (meta-GGA SCAN) on a crystal of ZnAgMo2 relaxed with PBEsol.

```
ZnAgMo2
1.0
-1.8847 1.8117 0.2799
-3.3528 -3.4289 -0.3819
0.1019 -0.6307 4.7683
Ag Mo Zn
1 2 1
Cartesian
-0.9423 0.9058 0.1400
0.0510 -0.3153 2.3841
-1.6764 -1.7144 -0.1909
-2.5678 -1.1239 2.3332
```

Computed properties:
The symmetry is P4/mmm, No. 123. As for the formation energy: 0.624 eV per atom. As for the total energy: -112.16 eV/cell. The total moment comes out at 0.0000 μB per atom.

=====

[5]
VASP calculation (meta-GGA SCAN) on a crystal of Ti2SbOsF relaxed with PBEsol.

```
Ti2SbOsF
1.0
3.9029 0.0000 0.0000
0.0000 5.0499 0.0000
0.0000 0.0000 5.0499
Sb F Os Ti
1 1 1 2
Cartesian
0.0000 0.0000 0.0000
1.9514 0.0000 0.0000
1.9514 2.5249 2.5249
0.0000 0.0000 2.5249
0.0000 2.5249 0.0000
```

Computed properties:
The symmetry is P4/mmm, No. 123. The formation energy without anion corrections comes out at 0.736 eV per atom. As for the total energy: -141.06 eV/cell. The total moment comes out at 0.0444 μB per atom.

=====

[6]
VASP calculation (meta-GGA SCAN) on a crystal of BeAg2GeOs relaxed with PBEsol.

```
BeAg2GeOs
1.0
-3.6916 -1.9774 1.8357
2.7334 -1.4197 3.9675
-1.1458 4.3005 2.3283
Be Ge Os Ag
1 1 1 2
Cartesian
-1.0520 0.4517 4.0657
-1.8458 -0.9887 0.9178
0.0000 0.0000 0.0000
-0.5729 2.1502 1.1641
1.3667 -0.7099 1.9837
```

Computed properties:
The symmetry is P4/mmm, No. 123. As for the formation energy: 1.478 eV per atom. As for the total energy: -150.66 eV/cell. The total moment comes out at 0.0002 μB per atom.